The following is a GGA-PBE calculation of crystalline BaCo3Cl12 at its relaxed geometry, from the Alexandria database.

POSCAR file:
```
BaCo3Cl12
1.0
5.6115 3.2398 11.3729
-5.6115 3.2398 11.3729
0.0000 -6.4796 11.3729
Ba Co Cl
2 6 24
Cartesian
0.0000 0.0000 0.0000
0.0000 0.0000 17.0593
-3.5787 0.5006 15.1760
-2.0328 -2.7392 20.8624
1.3559 -3.3496 15.1760
-1.3558 3.1301 20.8624
2.2229 2.8490 15.1760
3.3886 -0.3908 20.8624
-0.1554 -4.1999 9.0777
-3.5595 2.2346 9.0777
-3.5693 1.9695 13.5677
0.0790 -4.0758 13.5677
-2.0520 -1.0052 14.7641
-2.9078 1.4977 16.9962
-2.0423 -1.2703 19.2541
-2.7037 -1.7422 22.6826
0.1569 -3.2671 16.9962
-0.1399 -3.6468 21.1363
-3.0883 1.9446 21.1363
-2.5232 -1.2952 26.8227
1.8966 -1.2744 14.7641
0.1554 2.2797 14.7641
-0.0790 2.4038 19.2541
2.1213 -1.1335 19.2541
3.7150 1.9654 9.0777
-0.1569 3.2125 22.6826
3.4903 2.1063 13.5677
2.7509 1.7694 16.9962
2.8606 -1.4704 22.6826
2.3833 -1.5376 26.8227
0.1399 2.8328 26.8227
3.2282 1.7023 21.1363
```

Output
**Energy relative to the elements, uncorrected**: -13.5 eV/f.u.
**Space group**: No. 161

The following is a GGA-PBE calculation of crystalline AgAuSCl2 at its relaxed geometry, from the Alexandria database.

POSCAR file:
```
AgAuSCl2
1.0
4.8493 0.0000 0.0000
0.0000 4.8493 0.0000
0.0000 0.0000 5.1195
Ag Au S Cl
1 1 1 2
Cartesian
0.0000 0.0000 0.0000
2.4246 2.4246 2.5598
0.0000 0.0000 2.5598
0.0000 2.4246 0.0000
2.4246 0.0000 0.0000
```

Output
**Energy relative to the elements, uncorrected**: 2.5 eV/f.u.
**Excess energy over the best structure of this formula in the dataset**: 5.36 kcal/mol of atoms
**Space group**: No. 123

The following is a GGA-PBE calculation of crystalline SrZnCdPd3 at its relaxed geometry, from the Alexandria database.

POSCAR file:
```
SrZnCdPd3
1.0
3.4531 -6.3378 0.0000
3.4531 6.3378 0.0000
0.0000 0.0000 5.8911
Sr Zn Cd Pd
2 2 2 6
Cartesian
3.4531 3.8756 4.4183
3.4531 -3.8756 1.4728
3.4531 4.6016 1.4728
3.4531 -4.6016 4.4183
3.4531 0.7753 4.4183
3.4531 -0.7753 1.4728
1.3429 0.0000 0.0000
1.3429 0.0000 2.9456
3.4531 2.0301 1.4728
3.4531 -2.0301 4.4183
5.5633 0.0000 0.0000
5.5633 0.0000 2.9456
```

Output
**Space group**: No. 63
**Energy of formation from the pure elements**: -0.326 eV/atom

The following is a GGA-PBE calculation of crystalline AcPm2Ru at its relaxed geometry, from the Alexandria database.

POSCAR file:
```
AcPm2Ru
1.0
1.9604 1.1318 10.8428
-1.9604 1.1318 10.8428
0.0000 -2.2636 10.8428
Ac Pm Ru
1 2 1
Cartesian
0.0000 0.0000 0.0000
0.0000 0.0000 3.8069
0.0000 0.0000 28.7215
0.0000 0.0000 16.2642
```

Output
**Excess energy over the best structure of this formula in the dataset**: 6.88 kcal/mol of atoms
**Space group**: No. 166
**Energy of formation from the pure elements**: 0.109 eV/atom

The following is a GGA-PBE calculation of crystalline ErCoSi2Ni2 at its relaxed geometry, from the Alexandria database.

POSCAR file:
```
ErCoSi2Ni2
1.0
4.2441 0.0000 0.0000
0.0000 4.2441 0.0000
0.0000 0.0000 5.1095
Er Co Si Ni
1 1 2 2
Cartesian
0.0000 0.0000 0.0000
0.0000 0.0000 2.5548
0.0000 2.1221 2.5548
2.1221 0.0000 2.5548
2.1221 2.1221 1.2602
2.1221 2.1221 3.8494
```

Output
**Energy relative to the elements, uncorrected**: -1.8 eV/f.u.
**Space group**: No. 123

The following is a GGA-PBE calculation of crystalline TmIn2Ir at its relaxed geometry, from the Alexandria database.

POSCAR file:
```
TmIn2Ir
1.0
1.6263 0.9389 10.4337
-1.6263 0.9389 10.4337
0.0000 -1.8779 10.4337
Tm In Ir
1 2 1
Cartesian
0.0000 0.0000 0.0000
0.0000 0.0000 3.1566
0.0000 0.0000 28.1445
0.0000 0.0000 15.6505
```

Output
**Space group**: No. 166
**Energy of formation from the pure elements**: 0.239 eV/atom